Pm2Sn4Pt3Rh | PBE-GGA | relaxed

a = 4.5199 Å, b = 4.5199 Å, c = 10.9203 Å
α = 90.00°, β = 90.00°, γ = 90.00°
Space group P-4m2 (No. 115)
Asymmetric unit:
Pm (0.0000, 0.5000, 0.2415) x2
Sn (0.0000, 0.0000, 0.5000) x1
Sn (0.0000, 0.5000, 0.8721) x2
Sn (0.5000, 0.5000, 0.5000) x1
Pt (0.0000, 0.0000, 0.0000) x1
Pt (0.0000, 0.5000, 0.6346) x2
Rh (0.5000, 0.5000, 0.0000) x1

Output
ΔE_f   -0.80 eV/atom

Pm2Sn4PtRh3 | PBE-GGA | relaxed

a = 4.4463 Å, b = 4.4463 Å, c = 11.0101 Å
α = 90.00°, β = 90.00°, γ = 90.00°
Space group P-4m2 (No. 115)
Asymmetric unit:
Pm (0.0000, 0.5000, 0.2462) x2
Sn (0.0000, 0.0000, 0.0000) x1
Sn (0.0000, 0.5000, 0.6345) x2
Sn (0.5000, 0.5000, 0.0000) x1
Pt (0.0000, 0.0000, 0.5000) x1
Rh (0.0000, 0.5000, 0.8673) x2
Rh (0.5000, 0.5000, 0.5000) x1

Output
ΔE_f   -0.73 eV/atom

Pm2Sn3PtRh4 | PBE-GGA | relaxed

a = 4.2137 Å, b = 4.2137 Å, c = 11.7689 Å
α = 90.00°, β = 90.00°, γ = 90.00°
Space group P-4m2 (No. 115)
Asymmetric unit:
Pm (0.0000, 0.5000, 0.2266) x2
Sn (0.0000, 0.0000, 0.0000) x1
Sn (0.0000, 0.5000, 0.6302) x2
Pt (0.5000, 0.5000, 0.0000) x1
Rh (0.0000, 0.0000, 0.5000) x1
Rh (0.0000, 0.5000, 0.8499) x2
Rh (0.5000, 0.5000, 0.5000) x1

Output
ΔE_f   -0.67 eV/atom

Pm2Sn3Pt4Rh | PBE-GGA | relaxed

a = 4.1305 Å, b = 4.1305 Å, c = 12.5072 Å
α = 90.00°, β = 90.00°, γ = 90.00°
Space group P-4m2 (No. 115)
Asymmetric unit:
Pm (0.0000, 0.5000, 0.2203) x2
Sn (0.0000, 0.0000, 0.0000) x1
Sn (0.0000, 0.5000, 0.6362) x2
Pt (0.0000, 0.0000, 0.5000) x1
Pt (0.0000, 0.5000, 0.8449) x2
Pt (0.5000, 0.5000, 0.5000) x1
Rh (0.5000, 0.5000, 0.0000) x1

Output
ΔE_f   -0.75 eV/atom